Material: Dy2AsI3
Method: DFT, PBE
State: optimized geometry

abc: 4.3275 10.9476 11.2233
angles: 83.70 78.88 78.60
Atoms (fractional coordinates):
Dy (0.8658, 0.4513, 0.8171)
Dy (0.1342, 0.5487, 0.1829)
Dy (0.5872, 0.3023, 0.5234)
Dy (0.4128, 0.6977, 0.4766)
As (0.4111, 0.5102, 0.6675)
As (0.5889, 0.4898, 0.3325)
I (0.0441, 0.1891, 0.7227)
I (0.9559, 0.8109, 0.2773)
I (0.6713, 0.6704, 0.9869)
I (0.3287, 0.3296, 0.0131)
I (0.7754, 0.8293, 0.6199)
I (0.2246, 0.1707, 0.3801)

Computed properties:
The calculation puts the energy relative to the elements, uncorrected at -1289 meV per atom. The calculation puts the density of states at the Fermi level at 0.00 states/eV/f.u. As for the space-group type: C2/m.